No. 1
Crystalline Th2CCl2 at its relaxed geometry. Source: the Alexandria database, functional PBE.

a b c (Å): 10.623 10.623 10.623
angles (deg): 20.85 20.85 20.85
Fractional coordinates of all 5 atoms:
Th 0.122 0.122 0.122
Th 0.878 0.878 0.878
C 0.500 0.500 0.500
Cl 0.273 0.273 0.273
Cl 0.727 0.727 0.727

Properties
Raw formation energy   -1.41 eV per atom



No. 2
Crystalline ZnCuTeN2 at its relaxed geometry. Source: the Alexandria database, functional PBE.

a b c (Å): 3.873 3.873 6.208
angles (deg): 90.00 90.00 90.00
Fractional coordinates of all 5 atoms:
Zn 0.000 0.000 0.000
Cu 0.500 0.500 0.500
Te 0.000 0.000 0.500
N 0.000 0.500 0.000
N 0.500 0.000 0.000

Properties
Energy relative to the lowest polymorph listed for this composition   0.105 eV/atom
Raw formation energy   1.49 eV per atom



No. 3
Crystalline NaSrGeCl5 at its relaxed geometry. Source: the Alexandria database, functional PBE.

a b c (Å): 7.982 7.982 9.398
angles (deg): 101.25 101.25 106.28
Fractional coordinates of all 16 atoms:
Na 0.012 0.988 0.750
Na 0.988 0.012 0.250
Sr 0.000 0.500 0.000
Sr 0.500 0.000 0.500
Ge 0.494 0.506 0.750
Ge 0.506 0.494 0.250
Cl 0.162 0.246 0.109
Cl 0.197 0.803 0.250
Cl 0.246 0.162 0.609
Cl 0.352 0.627 0.927
Cl 0.373 0.648 0.573
Cl 0.627 0.352 0.427
Cl 0.648 0.373 0.073
Cl 0.754 0.838 0.391
Cl 0.803 0.197 0.750
Cl 0.838 0.754 0.891

Properties
Raw formation energy   -1.62 eV per atom



No. 4
Crystalline La3Y6Th at its relaxed geometry. Source: the Alexandria database, functional PBE.

a b c (Å): 6.998 6.998 6.998
angles (deg): 91.46 91.46 91.46
Fractional coordinates of all 10 atoms:
La 0.000 0.000 0.000
La 0.244 0.244 0.244
La 0.756 0.756 0.756
Y 0.000 0.671 0.329
Y 0.177 0.500 0.823
Y 0.329 0.000 0.671
Y 0.500 0.823 0.177
Y 0.671 0.329 0.000
Y 0.823 0.177 0.500
Th 0.500 0.500 0.500

Properties
Calculated formation energy   0.29 eV per atom



No. 5
Crystalline NbCr2Pt at its relaxed geometry. Source: the Alexandria database, functional PBE.

a b c (Å): 4.354 4.354 4.354
angles (deg): 60.00 60.00 60.00
Fractional coordinates of all 4 atoms:
Nb 0.000 0.000 0.000
Cr 0.250 0.250 0.250
Cr 0.750 0.750 0.750
Pt 0.500 0.500 0.500

Properties
Calculated formation energy   -0.02 eV per atom



No. 6
Crystalline Eu2CdRh at its relaxed geometry. Source: the Alexandria database, functional PBE.

a b c (Å): 3.607 3.607 7.934
angles (deg): 90.00 90.00 90.00
Fractional coordinates of all 4 atoms:
Eu 0.000 0.000 0.213
Eu 0.000 0.000 0.787
Cd 0.500 0.500 0.500
Rh 0.500 0.500 0.000

Properties
Calculated formation energy   -0.36 eV per atom
Energy relative to the lowest polymorph listed for this composition   0.000 eV/atom



Copy entry 2 word for word.
Crystalline ZnCuTeN2 at its relaxed geometry. Source: the Alexandria database, functional PBE.

a b c (Å): 3.873 3.873 6.208
angles (deg): 90.00 90.00 90.00
Fractional coordinates of all 5 atoms:
Zn 0.000 0.000 0.000
Cu 0.500 0.500 0.500
Te 0.000 0.000 0.500
N 0.000 0.500 0.000
N 0.500 0.000 0.000

Properties
Energy relative to the lowest polymorph listed for this composition   0.105 eV/atom
Raw formation energy   1.49 eV per atom